[1]
The following is a PBE calculation of La3VNi after structural relaxation, from Alexandria.

Calculated values
Offset from the most stable computed form (eV per atom): 0.000
Energy of formation from the pure elements (meV/atom): 361.8
Calculated volume (A^3/atom): 32.039
Size of the total moment (μB/f.u.): 4.2
Calculated density (kg/m3): 5456
DOS at the Fermi energy (states/eV per cell): 7.08

a = 5.4310 Å, b = 5.4310 Å, c = 5.4310 Å
α = 90.00°, β = 90.00°, γ = 90.00°
Closest atoms and distances in Å follow each position.
Fractional positions:
La 0.0000 0.0000 0.5000  2 Ni 2.72
La 0.5000 0.0000 0.0000  2 Ni 2.72
La 0.0000 0.5000 0.0000  2 Ni 2.72
Ni 0.0000 0.0000 0.0000  6 La 2.72
V 0.5000 0.5000 0.5000  12 La 3.84

[2]
The following is a PBE calculation of LaVNi3 after structural relaxation, from Alexandria.

Calculated values
Offset from the most stable computed form (eV per atom): 1.155
Energy of formation from the pure elements (meV/atom): 1376.2
Calculated volume (A^3/atom): 20.669
Size of the total moment (μB/f.u.): 3.7
Calculated density (kg/m3): 5880
DOS at the Fermi energy (states/eV per cell): 4.89

a = 4.6928 Å, b = 4.6928 Å, c = 4.6928 Å
α = 90.00°, β = 90.00°, γ = 90.00°
Closest atoms and distances in Å follow each position.
Fractional positions:
Ni 0.5000 0.0000 0.0000  2 La 2.35
Ni 0.0000 0.5000 0.0000  2 La 2.35
Ni 0.0000 0.0000 0.5000  2 La 2.35
V 0.5000 0.5000 0.5000  12 Ni 3.32
La 0.0000 0.0000 0.0000  6 Ni 2.35

[3]
The following is a PBE calculation of LaV2Ni after structural relaxation, from Alexandria.

Calculated values
Offset from the most stable computed form (eV per atom): 0.064
Energy of formation from the pure elements (meV/atom): 572.0
Calculated volume (A^3/atom): 20.778
Size of the total moment (μB/f.u.): 0.0
Calculated density (kg/m3): 5983
DOS at the Fermi energy (states/eV per cell): 12.26

a = 4.2002 Å, b = 4.2002 Å, c = 9.8796 Å
α = 77.73°, β = 77.73°, γ = 90.00°
Closest atoms and distances in Å follow each position.
Fractional positions:
La 0.7500 0.2500 0.5000  4 Ni 2.97, 4 V 3.27
La 0.0000 0.0000 0.0000  4 Ni 2.97, 4 V 3.27
V 0.3965 0.1250 0.2500  2 V 2.11
V 0.3535 0.6250 0.2500  2 V 2.11
V 0.8750 0.6465 0.7500  2 V 2.11
V 0.3750 0.6035 0.7500  2 V 2.11
Ni 0.5000 0.5000 0.0000  4 V 2.58
Ni 0.2500 0.7500 0.5000  4 V 2.58

[4]
The following is a PBE calculation of LaV3Ni after structural relaxation, from Alexandria.

Calculated values
Offset from the most stable computed form (eV per atom): 1.158
Energy of formation from the pure elements (meV/atom): 1816.3
Calculated volume (A^3/atom): 18.280
Size of the total moment (μB/f.u.): 0.3
Calculated density (kg/m3): 6366
DOS at the Fermi energy (states/eV per cell): 7.18

a = 4.5046 Å, b = 4.5046 Å, c = 4.5046 Å
α = 90.00°, β = 90.00°, γ = 90.00°
Closest atoms and distances in Å follow each position.
Fractional positions:
La 0.0000 0.0000 0.0000  6 V 2.25
V 0.0000 0.5000 0.0000  2 La 2.25
V 0.5000 0.0000 0.0000  2 La 2.25
V 0.0000 0.0000 0.5000  2 La 2.25
Ni 0.5000 0.5000 0.5000  12 V 3.19

[5]
The following is a PBE calculation of LaV2Ni after structural relaxation, from Alexandria.

Calculated values
Offset from the most stable computed form (eV per atom): 0.000
Energy of formation from the pure elements (meV/atom): 507.9
Calculated volume (A^3/atom): 15.683
Size of the total moment (μB/f.u.): 0.0
Calculated density (kg/m3): 7928
DOS at the Fermi energy (states/eV per cell): 6.84

a = 4.4600 Å, b = 4.4600 Å, c = 4.4600 Å
α = 60.00°, β = 60.00°, γ = 60.00°
Closest atoms and distances in Å follow each position.
Fractional positions:
V 0.2500 0.2500 0.2500  4 La 2.73, 4 Ni 2.73
V 0.7500 0.7500 0.7500  4 La 2.73, 4 Ni 2.73
La 0.5000 0.5000 0.5000  8 V 2.73
Ni 0.0000 0.0000 0.0000  8 V 2.73

[6]
The following is a PBE calculation of LaVNi2 after structural relaxation, from Alexandria.

Calculated values
Offset from the most stable computed form (eV per atom): 0.084
Energy of formation from the pure elements (meV/atom): 259.4
Calculated volume (A^3/atom): 21.121
Size of the total moment (μB/f.u.): 1.1
Calculated density (kg/m3): 6039
DOS at the Fermi energy (states/eV per cell): 7.82

a = 4.6968 Å, b = 4.6968 Å, c = 8.3485 Å
α = 73.66°, β = 73.66°, γ = 90.00°
Closest atoms and distances in Å follow each position.
Fractional positions:
V 0.2500 0.7500 0.5000  4 Ni 2.25
V 0.5000 0.5000 0.0000  4 Ni 2.25
La 0.7500 0.2500 0.5000  8 Ni 3.14-3.36, 4 V 3.32
La 0.0000 0.0000 0.0000  8 Ni 3.14-3.36, 4 V 3.32
Ni 0.3429 0.6250 0.2500  2 V 2.25, 2 Ni 2.37
Ni 0.8750 0.6571 0.7500  2 V 2.25, 2 Ni 2.37
Ni 0.4071 0.1250 0.2500  2 V 2.25, 2 Ni 2.37
Ni 0.3750 0.5929 0.7500  2 V 2.25, 2 Ni 2.37

[7]
The following is a PBE calculation of LaVNi2 after structural relaxation, from Alexandria.

Calculated values
Offset from the most stable computed form (eV per atom): 0.000
Energy of formation from the pure elements (meV/atom): 175.5
Calculated volume (A^3/atom): 17.621
Size of the total moment (μB/f.u.): 3.2
Calculated density (kg/m3): 7238
DOS at the Fermi energy (states/eV per cell): 5.51

a = 4.6366 Å, b = 4.6366 Å, c = 4.6366 Å
α = 60.00°, β = 60.00°, γ = 60.00°
Closest atoms and distances in Å follow each position.
Fractional positions:
La 0.5000 0.5000 0.5000  8 Ni 2.84
V 0.0000 0.0000 0.0000  8 Ni 2.84
Ni 0.2500 0.2500 0.2500  4 La 2.84, 4 V 2.84
Ni 0.7500 0.7500 0.7500  4 V 2.84, 4 La 2.84

[8]
The following is a PBE calculation of LaV2Ni2 after structural relaxation, from Alexandria.

Calculated values
Offset from the most stable computed form (eV per atom): 0.137
Energy of formation from the pure elements (meV/atom): 171.5
Calculated volume (A^3/atom): 17.362
Size of the total moment (μB/f.u.): 0.0
Calculated density (kg/m3): 6851
DOS at the Fermi energy (states/eV per cell): 7.33

a = 4.1584 Å, b = 4.1584 Å, c = 5.8178 Å
α = 69.06°, β = 69.06°, γ = 90.00°
Closest atoms and distances in Å follow each position.
Fractional positions:
V 0.6351 0.6351 0.7298  4 Ni 2.38
V 0.3649 0.3649 0.2702  4 Ni 2.38
Ni 0.2500 0.7500 0.5000  4 V 2.38
Ni 0.7500 0.2500 0.5000  4 V 2.38
La 0.0000 0.0000 0.0000  8 V 3.24, 8 Ni 3.26

[9]
The following is a PBE calculation of LaV2Ni2 after structural relaxation, from Alexandria.

Calculated values
Offset from the most stable computed form (eV per atom): 0.130
Energy of formation from the pure elements (meV/atom): 164.0
Calculated volume (A^3/atom): 15.181
Size of the total moment (μB/f.u.): 0.0
Calculated density (kg/m3): 7836
DOS at the Fermi energy (states/eV per cell): 12.18

a = 7.4385 Å, b = 7.4385 Å, c = 2.7436 Å
α = 90.00°, β = 90.00°, γ = 90.00°
Closest atoms and distances in Å follow each position.
Fractional positions:
Ni 0.8738 0.3738 0.5000  6 V 2.53-2.66, 3 Ni 2.66-2.74
Ni 0.1262 0.6262 0.5000  6 V 2.53-2.66, 3 Ni 2.66-2.74
Ni 0.3738 0.1262 0.5000  6 V 2.53-2.66, 3 Ni 2.66-2.74
Ni 0.6262 0.8738 0.5000  6 V 2.53-2.66, 3 Ni 2.66-2.74
La 0.0000 0.0000 0.0000  2 La 2.74, 4 V 2.81
La 0.5000 0.5000 0.0000  2 La 2.74, 4 V 2.81
V 0.6572 0.1572 0.0000  6 Ni 2.53-2.66, 2 V 2.74, 2 La 2.81
V 0.3428 0.8428 0.0000  6 Ni 2.53-2.66, 2 V 2.74, 2 La 2.81
V 0.1572 0.3428 0.0000  6 Ni 2.53-2.66, 2 V 2.74, 2 La 2.81
V 0.8428 0.6572 0.0000  6 Ni 2.53-2.66, 2 V 2.74, 2 La 2.81

[10]
The following is a PBE calculation of LaVNi3 after structural relaxation, from Alexandria.

Calculated values
Offset from the most stable computed form (eV per atom): 0.000
Energy of formation from the pure elements (meV/atom): 221.7
Calculated volume (A^3/atom): 18.065
Size of the total moment (μB/f.u.): 0.6
Calculated density (kg/m3): 6727
DOS at the Fermi energy (states/eV per cell): 4.66

a = 4.4868 Å, b = 4.4868 Å, c = 4.4868 Å
α = 90.00°, β = 90.00°, γ = 90.00°
Closest atoms and distances in Å follow each position.
Fractional positions:
V 0.0000 0.0000 0.0000  6 Ni 2.24
Ni 0.5000 0.0000 0.0000  2 V 2.24
Ni 0.0000 0.5000 0.0000  2 V 2.24
Ni 0.0000 0.0000 0.5000  2 V 2.24
La 0.5000 0.5000 0.5000  12 Ni 3.17

[11]
The following is a PBE calculation of LaYV2Ni after structural relaxation, from Alexandria.

Calculated values
Energy of formation from the pure elements (meV/atom): 1141.5
Calculated volume (A^3/atom): 22.624
Size of the total moment (μB/f.u.): 4.2
Calculated density (kg/m3): 5701
DOS at the Fermi energy (states/eV per cell): 6.27

a = 4.8862 Å, b = 4.7381 Å, c = 4.8862 Å
α = 90.00°, β = 90.00°, γ = 90.00°
Closest atoms and distances in Å follow each position.
Fractional positions:
La 0.0000 0.0000 0.0000  2 Ni 2.37, 4 V 2.44
V 0.5000 0.0000 0.0000  2 La 2.44
V 0.0000 0.0000 0.5000  2 La 2.44
Y 0.5000 0.5000 0.5000  8 V 3.40, 4 Ni 3.46
Ni 0.0000 0.5000 0.0000  2 La 2.37

[12]
The following is a PBE calculation of LaNiW3 after structural relaxation, from Alexandria.

Calculated values
Offset from the most stable computed form (eV per atom): 1.769
Energy of formation from the pure elements (meV/atom): 3123.7
Calculated volume (A^3/atom): 21.598
Size of the total moment (μB/f.u.): 0.0
Calculated density (kg/m3): 11519
DOS at the Fermi energy (states/eV per cell): 7.55

a = 4.7620 Å, b = 4.7620 Å, c = 4.7620 Å
α = 90.00°, β = 90.00°, γ = 90.00°
Closest atoms and distances in Å follow each position.
Fractional positions:
W 0.0000 0.0000 0.5000  2 La 2.38
W 0.0000 0.5000 0.0000  2 La 2.38
W 0.5000 0.0000 0.0000  2 La 2.38
Ni 0.5000 0.5000 0.5000  12 W 3.37
La 0.0000 0.0000 0.0000  6 W 2.38

The highest energy of formation from the pure elements belongs to which entry? LaNiW3